Entry 1:
Density functional theory data (PBE) for an optimized crystal structure of CaCd12In6.

Lattice parameters (Å, degrees): 12.9618 12.9618 9.9423 90.00 90.00 120.00
Space group R-3 (No. 148, hexagonal axes)
Unique sites:
Ca1 0.0000 0.0000 0.0000 (multiplicity 3)
Cd1 0.0128 0.7549 0.0216 (multiplicity 18)
Cd2 0.0691 0.5665 0.1188 (multiplicity 18)
In1 0.0564 0.8875 0.7394 (multiplicity 18)

Entry 2:
Density functional theory data (PBE) for an optimized crystal structure of CaCdIn.

Lattice parameters (Å, degrees): 7.333 7.333 7.333 90.00 90.00 90.00
Space group F-43m (No. 216)
Unique sites:
Ca1 0.000 0.000 0.000 (multiplicity 4)
Cd1 0.250 0.250 0.750 (multiplicity 4)
In1 0.250 0.250 0.250 (multiplicity 4)

Entry 3:
Density functional theory data (PBE) for an optimized crystal structure of Ca3CdIn2.

Lattice parameters (Å, degrees): 5.386 16.168 3.937 90.00 90.00 90.00
Space group Cmmm (No. 65)
Unique sites:
Ca1 0.000 0.000 0.000 (multiplicity 2)
Ca2 0.000 0.334 0.000 (multiplicity 4)
Cd1 0.000 0.500 0.500 (multiplicity 2)
In1 0.000 0.167 0.500 (multiplicity 4)

Number 1: final energy -29.538 eV/f.u., spin magnetization 0.0 μB per cell. Number 2: final energy -5.416 eV/f.u., spin magnetization 0.0 μB per cell. Number 3: final energy -15.010 eV/f.u., spin magnetization 0.0 μB per cell.